[1]
Material: SrCd2Mo
Method: DFT, PBE-GGA
State: relaxed

**Energy relative to the elements**: 0.54 eV/atom
**Theoretical density**: 7.25 g/cm3
**Uncorrected energy**: -12.17 eV per cell
**Energy above the lowest structure with this stoichiometry**: 150 meV/atom

a b c (Å): 6.0463 6.0463 5.5266
angles (deg): 111.63 111.63 30.07
Fractional coordinates of all 4 atoms:
Sr 0.0000 0.0000 0.0000
Cd 0.2211 0.2211 0.6469
Cd 0.4646 0.4646 0.4751
Mo 0.7573 0.7573 0.1589

---

[2]
Material: SrCd2Mo
Method: DFT, PBE-GGA
State: relaxed

**Energy relative to the elements**: 0.55 eV/atom
**Theoretical density**: 7.04 g/cm3
**Uncorrected energy**: -12.14 eV per cell
**Energy above the lowest structure with this stoichiometry**: 157 meV/atom

a b c (Å): 4.6509 4.6509 4.4555
angles (deg): 90.00 90.00 90.00
Fractional coordinates of all 4 atoms:
Sr 0.0000 0.0000 0.0000
Cd 0.0000 0.5000 0.5000
Cd 0.5000 0.0000 0.5000
Mo 0.5000 0.5000 0.0000